The following is a DFT calculation (PBE) of an optimized crystal structure of TiAl2Ga.

The calculation puts the formation enthalpy at 0 K at -1.44 eV/f.u. The density of states at the Fermi level is 1.87 states/eV/f.u.

The structure belongs to space group P4/mmm (No. 123); the cell edges are 3.980, 3.980 and 3.951 Å and the angles 90.00°, 90.00° and 90.00°. The asymmetric unit holds Ti at (0.000, 0.000, 0.000), Al at (0.000, 0.500, 0.500) and Ga at (0.500, 0.500, 0.000).

The following is a DFT calculation (PBE) of an optimized crystal structure of ScCuRe2.

The calculation puts the formation enthalpy at 0 K at 1.20 eV/f.u. The offset from the most stable computed form is 135 kJ/mol of formula units. The density of states at the Fermi level is 2.60 states/eV/f.u.

The structure belongs to space group Pmmm (No. 47); the cell edges are 2.615, 4.217 and 5.729 Å and the angles 90.00°, 90.00° and 90.00°. The asymmetric unit holds Sc at (0.000, 0.000, 0.000), Cu at (0.000, 0.000, 0.500) and Re at (0.500, 0.500, 0.278).

The following is a DFT calculation (PBE) of an optimized crystal structure of Na2Sn2Pd3.

The calculation puts the formation enthalpy at 0 K at -3.04 eV/f.u. The offset from the most stable computed form is 0 kJ/mol of formula units. The density of states at the Fermi level is 3.32 states/eV/f.u.

The structure belongs to space group C2/m (No. 12); the cell edges are 8.073, 4.612 and 8.096 Å and the angles 90.00°, 108.69° and 90.00°. The asymmetric unit holds Na at (0.134, 0.000, 0.404), Sn at (0.105, 0.500, 0.818), Pd at (0.000, 0.000, 0.000) and Pd at (0.224, 0.500, 0.175).

The following is a DFT calculation (PBE) of an optimized crystal structure of MgC3.

The calculation puts the formation enthalpy at 0 K at 8.75 eV/f.u. The offset from the most stable computed form is 587 kJ/mol of formula units. The density of states at the Fermi level is 1.33 states/eV/f.u.

The structure belongs to space group P6_3/mmc (No. 194); the cell edges are 4.5541, 4.5541 and 8.1943 Å and the angles 90.00°, 90.00° and 120.00°. The asymmetric unit holds Mg at (0.0000, 0.0000, 0.0000), Mg at (0.3333, 0.6667, 0.2500), C at (0.0000, 0.5000, 0.0000) and C at (0.2231, 0.4462, 0.7500).

The following is a DFT calculation (PBE) of an optimized crystal structure of CrTeP2.

The density of states at the Fermi level is 2.43 states/eV/f.u. The total DFT energy (no corrections) is -5.320 eV per atom.

The structure belongs to space group P4/mmm (No. 123); the cell edges are 4.686, 4.686 and 3.264 Å and the angles 90.00°, 90.00° and 90.00°. The asymmetric unit holds Cr at (0.000, 0.000, 0.000), Te at (0.500, 0.500, 0.000) and P at (0.000, 0.500, 0.500).

The following is a DFT calculation (PBE) of an optimized crystal structure of V4Ga2C.

The calculation puts the formation enthalpy at 0 K at -0.94 eV/f.u. The offset from the most stable computed form is 106 kJ/mol of formula units. The density of states at the Fermi level is 7.30 states/eV/f.u.

The structure belongs to space group I4/mmm (No. 139); the cell edges are 3.885, 3.885 and 13.097 Å and the angles 90.00°, 90.00° and 90.00°. The asymmetric unit holds V at (0.000, 0.000, 0.154), V at (0.000, 0.500, 0.000), Ga at (0.000, 0.000, 0.354) and C at (0.000, 0.000, 0.000).

The following is a DFT calculation (PBE) of an optimized crystal structure of CeGaNi.

The calculation puts the formation enthalpy at 0 K at -1.70 eV/f.u. The density of states at the Fermi level is 3.66 states/eV/f.u.

The structure belongs to space group Pmma (No. 51); the cell edges are 12.352, 3.931 and 6.934 Å and the angles 90.00°, 90.00° and 90.00°. The asymmetric unit holds Ce at (0.040, 0.000, 0.241), Ce at (0.250, 0.000, 0.611), Ga at (0.138, 0.500, 0.914), Ga at (0.250, 0.500, 0.270), Ni at (0.098, 0.500, 0.543) and Ni at (0.250, 0.000, 0.036).

The following is a DFT calculation (PBE) of an optimized crystal structure of BaNaLiBi2.

The calculation puts the formation enthalpy at 0 K at -2.17 eV/f.u. The density of states at the Fermi level is 2.40 states/eV/f.u.

The structure belongs to space group P4/mmm (No. 123); the cell edges are 5.508, 5.508 and 5.280 Å and the angles 90.00°, 90.00° and 90.00°. The asymmetric unit holds Ba at (0.000, 0.000, 0.000), Na at (0.500, 0.500, 0.000), Li at (0.500, 0.500, 0.500) and Bi at (0.000, 0.500, 0.500).